! Cd2SbIr, optimized geometry, DFT PBE; values from VASP
&SYSTEM
  ibrav = 0, nat = 4, ntyp = 3
/
ATOMIC_SPECIES
Sb 121.76 Sb.upf
Ir 192.22 Ir.upf
Cd 112.41 Cd.upf
ATOMIC_POSITIONS crystal
Sb 0.5000 0.7500 0.7500
Ir 0.5000 0.2500 0.2500
Cd 0.0000 0.0052 0.0078
Cd 0.0000 0.4948 0.4922
CELL_PARAMETERS angstrom
5.3353 0.0000 0.0000
0.0000 3.2356 0.0108
0.0000 -0.2543 4.7436
! total DFT energy (no corrections): -0.1267 Ha/atom
! uncorrected formation energy: 0.254 eV per atom
! space group: P2/m (10)
! calculated volume: 81.9 Å³/f.u.